A plane-wave DFT calculation with GGA-PBE was carried out for crystalline CeP4Ru4 at its relaxed geometry.

* calculated density: 8.02 g/cm³
* total magnetic moment: 0.6 μB per formula unit
* space-group type: P4_2/nmc, No. 137
* energy of formation: -0.64 eV per atom

Geometry as POSCAR:
```
CeP4Ru4
1.0
-5.575 1.489 1.567
-1.994 -1.870 -5.318
-1.079 -7.092 2.898
Ru P Ce
8 8 2
direct
0.228 0.500 0.876
0.500 0.772 0.124
0.772 0.500 0.876
0.000 0.272 0.376
0.500 0.228 0.124
0.272 0.000 0.624
0.000 0.728 0.376
0.728 0.000 0.624
0.500 0.791 0.821
0.709 0.000 0.321
0.500 0.209 0.821
0.209 0.500 0.179
0.000 0.709 0.679
0.291 0.000 0.321
0.791 0.500 0.179
0.000 0.291 0.679
0.500 0.500 0.500
0.000 0.000 0.000
```